(1)
Below is a relaxed Mn2ReSe crystal, with properties calculated at the PBE-GGA level.

Results
V	115.0	Å³/cell
total DFT energy (no corrections)	-66.0	eV for the cell shown
total moment	5.65	μB per formula unit
energy relative to the elements, uncorrected	320	meV/atom

a = 5.1298 Å, b = 7.4846 Å, c = 2.9959 Å
α = 90.00°, β = 90.00°, γ = 90.00°
Closest atoms and distances in Å follow each position.
Space group Cmmm (No. 65)
Asymmetric unit:
Mn (0.2500, 0.2500, 0.0000) [4 per cell]  2 Mn 2.56, 4 Se 2.72, 4 Re 2.72
Re (0.0000, 0.0000, 0.5000) [2 per cell]  2 Se 2.56, 8 Mn 2.72
Se (0.0000, 0.5000, 0.5000) [2 per cell]  2 Re 2.56, 8 Mn 2.72



(2)
Below is a relaxed Mn4ReSe crystal, with properties calculated at the PBE-GGA level.

Results
V	310.8	Å³/cell
total DFT energy (no corrections)	-198.8	eV for the cell shown
total moment	5.97	μB per formula unit
energy relative to the elements, uncorrected	486	meV/atom

a = 6.7737 Å, b = 6.7737 Å, c = 6.7737 Å
α = 90.00°, β = 90.00°, γ = 90.00°
Closest atoms and distances in Å follow each position.
Space group F-43m (No. 216)
Asymmetric unit:
Mn (0.1237, 0.1237, 0.1237) [16 per cell]  6 Mn 2.37-2.42
Re (0.2500, 0.2500, 0.7500) [4 per cell]  12 Mn 2.81, 4 Se 2.93
Se (0.0000, 0.0000, 0.5000) [4 per cell]  12 Mn 2.81, 4 Re 2.93



(3)
Below is a relaxed MnRe4Se8 crystal, with properties calculated at the PBE-GGA level.

Results
V	796.5	Å³/cell
total DFT energy (no corrections)	-257.6	eV for the cell shown
total moment	4.42	μB per formula unit
energy relative to the elements, uncorrected	76	meV/atom

a = 6.4541 Å, b = 6.4541 Å, c = 22.0782 Å
α = 90.00°, β = 90.00°, γ = 120.00°
Closest atoms and distances in Å follow each position.
Space group R-3m (No. 166, hexagonal axes)
Asymmetric unit:
Mn (0.0000, 0.0000, 0.0000) [3 per cell]  6 Se 2.66
Re (0.0000, 0.0000, 0.5000) [3 per cell]  6 Se 2.58
Re (0.0000, 0.5000, 0.5000) [9 per cell]  6 Se 2.56-2.57
Se (0.0000, 0.0000, 0.2467) [6 per cell]  3 Re 2.57
Se (0.0021, 0.5011, 0.7532) [18 per cell]  3 Re 2.56-2.58, 1 Mn 2.66



(4)
Below is a relaxed MnReTcSe crystal, with properties calculated at the PBE-GGA level.

Results
V	60.1	Å³/cell
total DFT energy (no corrections)	-34.0	eV for the cell shown
total moment	0.00	μB per formula unit
energy relative to the elements, uncorrected	372	meV/atom

a = 4.3898 Å, b = 2.8619 Å, c = 4.9321 Å
α = 90.00°, β = 104.17°, γ = 90.00°
Closest atoms and distances in Å follow each position.
Space group Pm (No. 6)
Asymmetric unit:
Mn (0.0000, 0.0000, 0.0000) [1 per cell]  1 Re 2.18, 2 Se 2.35
Re (0.0643, 0.0000, 0.4533) [1 per cell]  1 Mn 2.18
Tc (0.6169, 0.5000, 0.6212) [1 per cell]  2 Se 2.57-2.59, 2 Mn 2.61, 4 Re 2.72-2.76, 2 Tc 2.86
Se (0.4375, 0.5000, 0.0805) [1 per cell]  2 Mn 2.35, 2 Tc 2.57-2.59